(1)
# LiSiTeAuS2, relaxed, DFT PBE
# * VASP energy: -4.00 eV per atom
# * symmetry: No. 63
data_LiSiTeAuS2
_chemical_formula_sum 'Li2 Si2 Te2 Au2 S4'
_symmetry_space_group_name_H-M 'P 1'
_symmetry_Int_Tables_number 1
_symmetry_space_group_name_Hall 'P 1'
_cell_length_a 7.288
_cell_length_b 7.288
_cell_length_c 10.632
_cell_angle_alpha 90.00
_cell_angle_beta 90.00
_cell_angle_gamma 153.42
loop_
_atom_site_label
_atom_site_fract_x
_atom_site_fract_y
_atom_site_fract_z
Te1 0.563 0.437 0.250
S1 0.884 0.116 0.470
S2 0.116 0.884 0.970
Si1 0.500 0.500 0.000
S3 0.884 0.116 0.030
Te2 0.437 0.563 0.750
Si2 0.500 0.500 0.500
Li1 0.778 0.222 0.750
Au1 0.130 0.870 0.750
S4 0.116 0.884 0.530
Li2 0.222 0.778 0.250
Au2 0.870 0.130 0.250

(2)
# ErTm2Cu4Si2Ge2, relaxed, DFT PBE
# * VASP energy: -5.03 eV per atom
# * symmetry: No. 71
data_ErTm2Cu4Si2Ge2
_chemical_formula_sum 'Er1 Tm2 Cu4 Si2 Ge2'
_symmetry_space_group_name_H-M 'P 1'
_symmetry_Int_Tables_number 1
_symmetry_space_group_name_Hall 'P 1'
_cell_length_a 7.872
_cell_length_b 7.872
_cell_length_c 7.872
_cell_angle_alpha 149.52
_cell_angle_beta 130.71
_cell_angle_gamma 59.06
loop_
_atom_site_label
_atom_site_fract_x
_atom_site_fract_y
_atom_site_fract_z
Tm1 0.871 0.871 0.000
Cu1 0.527 0.336 0.192
Cu2 0.856 0.664 0.192
Tm2 0.129 0.129 0.000
Ge1 0.283 0.783 0.500
Cu3 0.473 0.664 0.808
Si1 0.184 0.500 0.684
Er1 0.500 0.000 0.500
Ge2 0.717 0.217 0.500
Cu4 0.144 0.336 0.808
Si2 0.816 0.500 0.316